! ErCd2Pd2 GGA-PBE relaxed; values from VASP
&SYSTEM
  ibrav = 0, nat = 10, ntyp = 3
/
ATOMIC_SPECIES
Er 167.26 Er.upf
Cd 112.41 Cd.upf
Pd 106.42 Pd.upf
ATOMIC_POSITIONS angstrom
Er 2.4535 5.7678 2.8114
Er 2.4535 -5.7678 0.0000
Cd 2.4535 2.7975 3.9868
Cd 2.4535 0.3856 2.1603
Cd 2.4535 -0.3856 4.9716
Cd 2.4535 -2.7975 1.1754
Pd 2.4535 5.4610 5.5447
Pd 2.4535 2.9171 1.1478
Pd 2.4535 -2.9171 3.9592
Pd 2.4535 -5.4610 2.7334
CELL_PARAMETERS angstrom
2.4535 -7.2085 0.0000
2.4535 7.2085 0.0000
0.0000 0.0000 5.6227
! **Fermi-level density of states**: 4.986 states/eV per cell
! **Spin magnetization**: 0.00 μB per cell
! **Excess energy over the best structure of this formula in the dataset**: 0.040 eV/atom
! **Density**: 10.10 g cm⁻³
! **Space group**: Cmc2_1

---

! ErCd3Pd6 GGA-PBE relaxed; values from VASP
&SYSTEM
  ibrav = 0, nat = 20, ntyp = 3
/
ATOMIC_SPECIES
Er 167.26 Er.upf
Cd 112.41 Cd.upf
Pd 106.42 Pd.upf
ATOMIC_POSITIONS angstrom
Er 4.8392 4.6789 2.6845
Er 4.8392 -4.6789 0.0000
Cd 2.0113 1.2135 2.7667
Cd 2.0113 -1.2135 0.0822
Cd 4.8392 1.2414 2.5002
Cd 4.8392 -1.2414 5.1847
Cd 7.6671 1.2135 2.7667
Cd 7.6671 -1.2135 0.0822
Pd 4.8392 7.1165 4.0815
Pd 2.5284 3.5274 1.4179
Pd 4.8392 3.6683 5.2926
Pd 3.3551 1.2460 5.3227
Pd 3.3551 -1.2460 2.6382
Pd 7.1500 3.5274 1.4179
Pd 2.5284 -3.5274 4.1024
Pd 6.3233 1.2460 5.3227
Pd 6.3233 -1.2460 2.6382
Pd 4.8392 -3.6683 2.6081
Pd 7.1500 -3.5274 4.1024
Pd 4.8392 -7.1165 1.3970
CELL_PARAMETERS angstrom
4.8392 -7.1595 0.0000
4.8392 7.1595 0.0000
0.0000 0.0000 5.3690
! **Fermi-level density of states**: 8.278 states/eV per cell
! **Spin magnetization**: 0.00 μB per cell
! **Excess energy over the best structure of this formula in the dataset**: 0.139 eV/atom
! **Density**: 10.20 g cm⁻³
! **Space group**: Cmc2_1

---

! Er6Cd2Pd GGA-PBE relaxed; values from VASP
&SYSTEM
  ibrav = 0, nat = 9, ntyp = 3
/
ATOMIC_SPECIES
Er 167.26 Er.upf
Cd 112.41 Cd.upf
Pd 106.42 Pd.upf
ATOMIC_POSITIONS angstrom
Er 4.8005 1.8221 1.6335
Er 7.8401 1.8758 0.0000
Er 9.2639 1.8221 3.1451
Er 4.8005 -1.8221 1.6335
Er 7.8401 -1.8758 0.0000
Er 9.2639 -1.8221 3.1451
Cd 3.8728 0.0000 3.9811
Cd 10.1916 0.0000 0.7974
Pd -0.8079 0.0000 2.3893
CELL_PARAMETERS angstrom
7.8401 -3.5603 0.0000
7.8401 3.5603 0.0000
-1.6157 0.0000 4.7785
! **Fermi-level density of states**: 11.265 states/eV per cell
! **Spin magnetization**: 0.00 μB per cell
! **Total DFT energy (no corrections)**: -35.32 eV for the cell shown
! **Density**: 8.31 g cm⁻³
! **Space group**: C2/m

---

! Er2Cd3Pd2 GGA-PBE relaxed; values from VASP
&SYSTEM
  ibrav = 0, nat = 7, ntyp = 3
/
ATOMIC_SPECIES
Er 167.26 Er.upf
Cd 112.41 Cd.upf
Pd 106.42 Pd.upf
ATOMIC_POSITIONS angstrom
Er 0.6393 0.0000 1.9755
Er 6.5622 0.0000 4.9836
Cd 3.4651 0.0000 0.4135
Cd 3.6007 0.0000 3.4795
Cd 3.7364 0.0000 6.5456
Pd -0.2243 0.0000 4.8001
Pd 7.4257 0.0000 2.1590
CELL_PARAMETERS angstrom
4.8656 -2.2334 0.0000
4.8656 2.2334 0.0000
-2.5297 0.0000 6.9591
! **Fermi-level density of states**: 3.223 states/eV per cell
! **Spin magnetization**: 0.00 μB per cell
! **Excess energy over the best structure of this formula in the dataset**: 0.000 eV/atom
! **Density**: 9.71 g cm⁻³
! **Space group**: C2/m

---

! ErCd3Pd4 GGA-PBE relaxed; values from VASP
&SYSTEM
  ibrav = 0, nat = 16, ntyp = 3
/
ATOMIC_SPECIES
Er 167.26 Er.upf
Cd 112.41 Cd.upf
Pd 106.42 Pd.upf
ATOMIC_POSITIONS angstrom
Er 0.0000 0.0000 0.0000
Er 4.7237 0.0000 0.0000
Cd 0.0000 3.2734 0.0000
Cd 2.3619 0.0000 2.3344
Cd 2.3619 3.2734 2.3240
Cd 4.7237 3.2734 0.0000
Cd 7.0856 0.0000 2.3901
Cd 7.0856 3.2734 2.4005
Pd 0.0000 1.6780 2.3623
Pd 0.0000 4.8688 2.3623
Pd 2.3619 1.6779 4.6833
Pd 2.3619 4.8689 4.6833
Pd 4.7237 1.6780 2.3623
Pd 4.7237 4.8688 2.3623
Pd 7.0856 1.6779 0.0412
Pd 7.0856 4.8689 0.0412
CELL_PARAMETERS angstrom
9.4474 0.0000 0.0000
0.0000 6.5467 0.0000
0.0000 0.0000 4.7245
! **Fermi-level density of states**: 5.727 states/eV per cell
! **Spin magnetization**: 0.00 μB per cell
! **Excess energy over the best structure of this formula in the dataset**: 0.000 eV/atom
! **Density**: 10.57 g cm⁻³
! **Space group**: Pmma

---

! Er4CdPd7 GGA-PBE relaxed; values from VASP
&SYSTEM
  ibrav = 0, nat = 12, ntyp = 3
/
ATOMIC_SPECIES
Er 167.26 Er.upf
Cd 112.41 Cd.upf
Pd 106.42 Pd.upf
ATOMIC_POSITIONS angstrom
Er -0.4425 0.0000 2.5707
Er -1.2861 0.0000 7.7456
Er 6.9964 0.0000 1.2122
Er 6.1528 0.0000 6.3871
Cd 2.8552 0.0000 4.4789
Pd -2.5339 0.0000 4.4789
Pd 1.3199 0.0000 0.1792
Pd 0.1013 0.0000 5.3280
Pd 3.6249 0.0000 1.6687
Pd 2.0855 0.0000 7.2891
Pd 5.6091 0.0000 3.6298
Pd 4.3905 0.0000 8.7786
CELL_PARAMETERS angstrom
5.3890 -2.5885 0.0000
5.3890 2.5885 0.0000
-5.0677 0.0000 8.9578
! **Fermi-level density of states**: 5.991 states/eV per cell
! **Spin magnetization**: 0.00 μB per cell
! **Total DFT energy (no corrections)**: -63.66 eV for the cell shown
! **Density**: 10.14 g cm⁻³
! **Space group**: C2/m

---

! ErCdPd GGA-PBE relaxed; values from VASP
&SYSTEM
  ibrav = 0, nat = 3, ntyp = 3
/
ATOMIC_SPECIES
Er 167.26 Er.upf
Cd 112.41 Cd.upf
Pd 106.42 Pd.upf
ATOMIC_POSITIONS angstrom
Er 0.0000 0.0000 0.0000
Cd 0.0000 2.7118 1.7117
Pd 2.3485 1.3559 1.7117
CELL_PARAMETERS angstrom
4.6970 0.0000 0.0000
-2.3485 4.0677 0.0000
0.0000 0.0000 3.4234
! **Fermi-level density of states**: 2.477 states/eV per cell
! **Spin magnetization**: 0.00 μB per cell
! **Total DFT energy (no corrections)**: -12.30 eV for the cell shown
! **Density**: 9.80 g cm⁻³
! **Space group**: P-6m2

---

! ErCd3Pd GGA-PBE relaxed; values from VASP
&SYSTEM
  ibrav = 0, nat = 20, ntyp = 3
/
ATOMIC_SPECIES
Er 167.26 Er.upf
Cd 112.41 Cd.upf
Pd 106.42 Pd.upf
ATOMIC_POSITIONS angstrom
Er 1.7664 1.0169 0.0988
Er 2.9491 3.0506 5.9819
Er 6.4819 1.0169 5.7842
Er 7.6646 3.0506 11.6672
Cd 0.4437 1.0169 4.8277
Cd 0.5829 3.0506 2.3975
Cd 1.6633 3.0506 9.3629
Cd 3.0522 1.0169 3.4799
Cd 4.1326 1.0169 8.2806
Cd 4.2718 3.0506 10.7107
Cd 5.1592 1.0169 1.0554
Cd 5.2983 3.0506 3.4855
Cd 6.3788 3.0506 8.2862
Cd 7.7677 1.0169 2.4031
Cd 8.8481 1.0169 9.3685
Cd 8.9873 3.0506 6.9384
Pd 1.5259 1.0169 7.4180
Pd 3.1896 3.0506 1.5350
Pd 6.2414 1.0169 10.2311
Pd 7.9051 3.0506 4.3481
CELL_PARAMETERS angstrom
9.4310 0.0000 0.0000
0.0000 4.0675 0.0000
0.0000 0.0000 11.7661
! **Fermi-level density of states**: 11.786 states/eV per cell
! **Spin magnetization**: 0.00 μB per cell
! **Excess energy over the best structure of this formula in the dataset**: 0.000 eV/atom
! **Density**: 8.99 g cm⁻³
! **Space group**: Pnma

---

! Er4CdPd GGA-PBE relaxed; values from VASP
&SYSTEM
  ibrav = 0, nat = 12, ntyp = 3
/
ATOMIC_SPECIES
Er 167.26 Er.upf
Cd 112.41 Cd.upf
Pd 106.42 Pd.upf
ATOMIC_POSITIONS angstrom
Er 1.7583 4.1181 5.4973
Er 1.4542 1.0907 3.5191
Er 4.3466 4.1181 3.1631
Er 2.3450 -1.0907 0.6323
Er 4.6506 1.0907 5.1413
Er 2.6490 -4.1181 2.6105
Er 5.5413 -1.0907 2.2545
Er 5.2373 -4.1181 0.2763
Cd 3.9431 1.5339 1.4434
Cd 3.0524 -1.5339 4.3302
Pd 3.9431 6.3558 1.4434
Pd 3.0524 -6.3558 4.3302
CELL_PARAMETERS angstrom
4.3885 -6.3613 0.0000
4.3885 6.3613 0.0000
-1.7814 0.0000 5.7736
! **Fermi-level density of states**: 13.047 states/eV per cell
! **Spin magnetization**: 0.00 μB per cell
! **Excess energy over the best structure of this formula in the dataset**: 0.109 eV/atom
! **Density**: 9.15 g cm⁻³
! **Space group**: C2/c

---

! ErCd4Pd15 GGA-PBE relaxed; values from VASP
&SYSTEM
  ibrav = 0, nat = 20, ntyp = 3
/
ATOMIC_SPECIES
Er 167.26 Er.upf
Cd 112.41 Cd.upf
Pd 106.42 Pd.upf
ATOMIC_POSITIONS angstrom
Er 0.0000 0.0000 0.0000
Cd 0.0000 0.0000 4.0999
Cd 0.0000 0.0000 8.0907
Cd 0.0000 0.0000 12.0894
Cd 0.0000 0.0000 16.0802
Pd 0.0000 2.0255 2.0740
Pd 0.0000 2.0255 6.1007
Pd 0.0000 2.0255 10.0900
Pd 0.0000 2.0255 14.0793
Pd 0.0000 2.0255 18.1061
Pd 2.0255 0.0000 2.0740
Pd 2.0255 0.0000 6.1007
Pd 2.0255 0.0000 10.0900
Pd 2.0255 0.0000 14.0793
Pd 2.0255 0.0000 18.1061
Pd 2.0255 2.0255 0.0000
Pd 2.0255 2.0255 4.0828
Pd 2.0255 2.0255 8.1023
Pd 2.0255 2.0255 12.0778
Pd 2.0255 2.0255 16.0973
CELL_PARAMETERS angstrom
4.0509 0.0000 0.0000
0.0000 4.0509 0.0000
0.0000 0.0000 20.1801
! **Fermi-level density of states**: 24.392 states/eV per cell
! **Spin magnetization**: 0.00 μB per cell
! **Total DFT energy (no corrections)**: -93.47 eV for the cell shown
! **Density**: 11.10 g cm⁻³
! **Space group**: P4/mmm

---

Q: Which value of Fermi-level density of states does entry 10 give?
A: 24.392 states/eV per cell